No. 1
The following is a DFT calculation (PBE-GGA) of crystalline HoF at its relaxed geometry.

Unit cell a=3.7357 b=3.7357 c=5.3376 alpha=90.00 beta=90.00 gamma=120.00
With the nearest neighbours (Å) after each atom.
Atoms (fractional coordinates):
Ho: 0.3333 0.6667 0.2500  6 F 2.54
Ho: 0.6667 0.3333 0.7500  6 F 2.54
F: 0.0000 0.0000 0.0000  6 Ho 2.54, 2 F 2.67
F: 0.0000 0.0000 0.5000  6 Ho 2.54, 2 F 2.67

Output
- Energy relative to the lowest polymorph listed for this composition: 15 kJ/mol of formula units

***

No. 2
The following is a DFT calculation (PBE-GGA) of crystalline SrTbAgTe2Se at its relaxed geometry.

Unit cell a=7.6949 b=7.6949 c=10.8217 alpha=90.00 beta=90.00 gamma=147.51
With the nearest neighbours (Å) after each atom.
Atoms (fractional coordinates):
Sr: 0.2381 0.7619 0.7500  2 Se 3.16, 4 Te 3.46
Sr: 0.7619 0.2381 0.2500  2 Se 3.16, 4 Te 3.46
Tb: 0.5000 0.5000 0.0000  2 Se 2.96, 4 Te 3.12
Tb: 0.5000 0.5000 0.5000  2 Se 2.96, 4 Te 3.12
Ag: 0.0259 0.9741 0.2500  2 Se 2.68, 2 Te 2.78
Ag: 0.9741 0.0259 0.7500  2 Se 2.68, 2 Te 2.78
Te: 0.1475 0.8525 0.0540  1 Ag 2.78
Te: 0.1475 0.8525 0.4460  1 Ag 2.78
Te: 0.8525 0.1475 0.5540  1 Ag 2.78
Te: 0.8525 0.1475 0.9460  1 Ag 2.78
Se: 0.4182 0.5818 0.2500  2 Ag 2.68, 2 Tb 2.96
Se: 0.5818 0.4182 0.7500  2 Ag 2.68, 2 Tb 2.96

Output
- Total DFT energy (no corrections): -4.459 eV/atom

***

No. 3
The following is a DFT calculation (PBE-GGA) of crystalline Dy3Mg3GaPd2 at its relaxed geometry.

Unit cell a=7.3781 b=7.3781 c=4.2046 alpha=90.00 beta=90.00 gamma=120.00
With the nearest neighbours (Å) after each atom.
Atoms (fractional coordinates):
Dy: 0.0000 0.5819 0.0000  4 Pd 3.05, 1 Ga 3.08, 6 Mg 3.25-3.41
Dy: 0.4181 0.4181 0.0000  4 Pd 3.05, 1 Ga 3.08, 6 Mg 3.25-3.41
Dy: 0.5819 0.0000 0.0000  4 Pd 3.05, 1 Ga 3.08, 6 Mg 3.25-3.41
Mg: 0.0000 0.2464 0.5000  2 Ga 2.78, 2 Pd 2.84
Mg: 0.2464 0.0000 0.5000  2 Ga 2.78, 2 Pd 2.84
Mg: 0.7536 0.7536 0.5000  2 Ga 2.78, 2 Pd 2.84
Ga: 0.0000 0.0000 0.0000  6 Mg 2.78, 3 Dy 3.08
Pd: 0.3333 0.6667 0.5000  3 Mg 2.84, 6 Dy 3.05
Pd: 0.6667 0.3333 0.5000  3 Mg 2.84, 6 Dy 3.05

Output
- Total DFT energy (no corrections): -4.122 eV/atom

***

No. 4
The following is a DFT calculation (PBE-GGA) of crystalline Y4ErLu2Ni2Te2 at its relaxed geometry.

Unit cell a=9.3105 b=9.3105 c=9.3105 alpha=156.29 beta=67.52 gamma=117.83
With the nearest neighbours (Å) after each atom.
Atoms (fractional coordinates):
Y: 0.1311 0.0000 0.1311  2 Ni 2.82, 1 Te 3.12
Y: 0.5157 0.2013 0.3144  2 Ni 2.81
Y: 0.8689 0.0000 0.8689  2 Ni 2.82, 1 Te 3.12
Y: 0.8869 0.2013 0.6856  2 Ni 2.81
Er: 0.5786 0.5786 0.0000  3 Te 3.17-3.19
Lu: 0.2082 0.8538 0.3544  2 Ni 2.76
Lu: 0.4994 0.8538 0.6456  2 Ni 2.76
Ni: 0.2682 0.5032 0.7650  2 Lu 2.76, 4 Y 2.81-2.82
Ni: 0.7382 0.5032 0.2350  2 Lu 2.76, 4 Y 2.81-2.82
Te: 0.2469 0.2469 0.0000  2 Y 3.12, 4 Lu 3.13, 1 Er 3.19
Te: 0.8420 0.3420 0.5000  2 Er 3.17, 6 Y 3.18

Output
- Energy relative to the lowest polymorph listed for this composition: 20 kJ/mol of formula units

***

No. 5
The following is a DFT calculation (PBE-GGA) of crystalline LiAgMoSe2S at its relaxed geometry.

Unit cell a=6.8930 b=6.8930 c=10.0945 alpha=90.00 beta=90.00 gamma=150.28
With the nearest neighbours (Å) after each atom.
Atoms (fractional coordinates):
Li: 0.1921 0.8079 0.7500  2 S 2.52, 2 Se 2.71
Li: 0.8079 0.1921 0.2500  2 S 2.52, 2 Se 2.71
Ag: 0.0922 0.9078 0.2500  2 Se 2.51, 2 S 2.66
Ag: 0.9078 0.0922 0.7500  2 Se 2.51, 2 S 2.66
Mo: 0.5000 0.5000 0.0000  4 Se 2.61, 2 S 2.64
Mo: 0.5000 0.5000 0.5000  4 Se 2.61, 2 S 2.64
Se: 0.1442 0.8558 0.0112  1 Ag 2.51, 2 Mo 2.61, 1 Li 2.71
Se: 0.1442 0.8558 0.4888  1 Ag 2.51, 2 Mo 2.61, 1 Li 2.71
Se: 0.8558 0.1442 0.5112  1 Ag 2.51, 2 Mo 2.61, 1 Li 2.71
Se: 0.8558 0.1442 0.9888  1 Ag 2.51, 2 Mo 2.61, 1 Li 2.71
S: 0.4429 0.5571 0.2500  2 Li 2.52, 2 Mo 2.64, 2 Ag 2.66
S: 0.5571 0.4429 0.7500  2 Li 2.52, 2 Mo 2.64, 2 Ag 2.66

Output
- Total DFT energy (no corrections): -4.763 eV/atom

***

No. 6
The following is a DFT calculation (PBE-GGA) of crystalline Nb4FePC2 at its relaxed geometry.

Unit cell a=3.1950 b=3.1950 c=12.4214 alpha=90.00 beta=90.00 gamma=120.00
With the nearest neighbours (Å) after each atom.
Atoms (fractional coordinates):
Nb: 0.0000 0.0000 0.1419  3 C 2.25
Nb: 0.0000 0.0000 0.8581  3 C 2.25
Nb: 0.3333 0.6667 0.3417  3 C 2.20
Nb: 0.3333 0.6667 0.6583  3 C 2.20
Fe: 0.0000 0.0000 0.5000  6 Nb 2.70
P: 0.3333 0.6667 0.0000  6 Nb 2.55
C: 0.6667 0.3333 0.2452  6 Nb 2.20-2.25
C: 0.6667 0.3333 0.7548  6 Nb 2.20-2.25

Output
- Total DFT energy (no corrections): -9.497 eV/atom

***

No. 7
The following is a DFT calculation (PBE-GGA) of crystalline PuMo at its relaxed geometry.

Unit cell a=5.3863 b=5.3863 c=5.3863 alpha=90.00 beta=90.00 gamma=90.00
With the nearest neighbours (Å) after each atom.
Atoms (fractional coordinates):
Pu: 0.0000 0.0000 0.0000  6 Mo 2.69
Pu: 0.0000 0.5000 0.5000  6 Mo 2.69
Pu: 0.5000 0.0000 0.5000  6 Mo 2.69
Pu: 0.5000 0.5000 0.0000  6 Mo 2.69
Mo: 0.0000 0.0000 0.5000  6 Pu 2.69
Mo: 0.0000 0.5000 0.0000  6 Pu 2.69
Mo: 0.5000 0.0000 0.0000  6 Pu 2.69
Mo: 0.5000 0.5000 0.5000  6 Pu 2.69

Output
- Energy relative to the lowest polymorph listed for this composition: 82 kJ/mol of formula units
- Calculated formation energy: 0.900 eV per atom

***

No. 8
The following is a DFT calculation (PBE-GGA) of crystalline Na2OsF6 at its relaxed geometry.

Unit cell a=5.5036 b=5.5036 c=3.9444 alpha=90.10 beta=90.10 gamma=60.03
With the nearest neighbours (Å) after each atom.
Atoms (fractional coordinates):
Na: 0.1664 0.1664 0.2838  6 F 2.38-2.55
Na: 0.8336 0.8336 0.7162  6 F 2.38-2.55
Os: 0.5000 0.5000 0.0000  6 F 1.95
F: 0.1420 0.6790 0.2411  1 Os 1.95
F: 0.3210 0.3210 0.7572  1 Os 1.95
F: 0.3210 0.8580 0.7589  1 Os 1.95
F: 0.6790 0.1420 0.2411  1 Os 1.95
F: 0.6790 0.6790 0.2428  1 Os 1.95
F: 0.8580 0.3210 0.7589  1 Os 1.95

Output
- Total DFT energy (no corrections): -4.869 eV/atom